1.
The following is a DFT calculation (SCAN) of a crystal of Be3Zn4Si3SO12 relaxed with PBEsol.

The calculation puts the volume at 534 Å³/cell. The value obtained for the uncorrected energy is -479.6 eV/cell. The total moment is 0.000 μB/f.u.

It has space group P-43n (No. 218), with a = 8.1124 Å, b = 8.1124 Å, c = 8.1124 Å, α = 90.00°, β = 90.00° and γ = 90.00°. Symmetry generates all atoms from Be at (0.0000, 0.2500, 0.5000), Zn at (0.1648, 0.1648, 0.1648), Si at (0.0000, 0.5000, 0.2500), S at (0.0000, 0.0000, 0.0000) and O at (0.0953, 0.3623, 0.6370).

2.
The following is a DFT calculation (SCAN) of a crystal of TaBeS2O relaxed with PBEsol.

The calculation puts the volume at 88 Å³/cell. The value obtained for the uncorrected energy is -99.8 eV/cell. The total moment is 0.000 μB/f.u.

It has space group P4/mmm (No. 123), with a = 4.8099 Å, b = 4.8099 Å, c = 3.7948 Å, α = 90.00°, β = 90.00° and γ = 90.00°. Symmetry generates all atoms from Ta at (0.0000, 0.0000, 0.0000), Be at (0.5000, 0.5000, 0.5000), S at (0.0000, 0.5000, 0.0000) and O at (0.0000, 0.0000, 0.5000).

3.
The following is a DFT calculation (SCAN) of a crystal of Be2SbO relaxed with PBEsol.

The calculation puts the volume at 203 Å³/cell. The value obtained for the uncorrected energy is -223.1 eV/cell. The total moment is 0.000 μB/f.u.

It has space group I-42d (No. 122), with a = 4.6480 Å, b = 4.6480 Å, c = 9.4107 Å, α = 90.00°, β = 90.00° and γ = 90.00°. Symmetry generates all atoms from Be at (0.0815, 0.2500, 0.1250), Sb at (0.0000, 0.0000, 0.5000) and O at (0.0000, 0.0000, 0.0000).

4.
The following is a DFT calculation (SCAN) of a crystal of BeSb2O relaxed with PBEsol.

The calculation puts the volume at 310 Å³/cell. The value obtained for the uncorrected energy is -341.0 eV/cell. The total moment is 0.000 μB/f.u.

It has space group I-42d (No. 122), with a = 5.1118 Å, b = 5.1118 Å, c = 11.8666 Å, α = 90.00°, β = 90.00° and γ = 90.00°. Symmetry generates all atoms from Be at (0.0000, 0.0000, 0.0000), Sb at (0.2273, 0.2500, 0.6250) and O at (0.0000, 0.0000, 0.5000).

5.
The following is a DFT calculation (SCAN) of a crystal of BeSbTe2O relaxed with PBEsol.

The calculation puts the volume at 109 Å³/cell. The value obtained for the uncorrected energy is -118.6 eV/cell. The total moment is 0.933 μB/f.u.

It has space group P4/mmm (No. 123), with a = 4.7594 Å, b = 4.7594 Å, c = 4.8186 Å, α = 90.00°, β = 90.00° and γ = 90.00°. Symmetry generates all atoms from Be at (0.0000, 0.0000, 0.0000), Sb at (0.0000, 0.0000, 0.5000), Te at (0.0000, 0.5000, 0.0000) and O at (0.5000, 0.5000, 0.5000).

6.
The following is a DFT calculation (SCAN) of a crystal of Sc2BeO relaxed with PBEsol.

For the offset from the most stable computed form, the calculation gives 0.612 eV per atom. The calculation puts the volume at 221 Å³/cell. The value obtained for the uncorrected energy is -162.9 eV/cell. The total moment is 0.000 μB/f.u.

It has space group Fm-3m (No. 225), with a = 6.0469 Å, b = 6.0469 Å, c = 6.0469 Å, α = 90.00°, β = 90.00° and γ = 90.00°. Symmetry generates all atoms from Sc at (0.2500, 0.2500, 0.2500), Be at (0.0000, 0.0000, 0.0000) and O at (0.0000, 0.0000, 0.5000).

7.
The following is a DFT calculation (SCAN) of a crystal of Sc2BeO relaxed with PBEsol.

For the offset from the most stable computed form, the calculation gives 0.000 eV per atom. The calculation puts the volume at 232 Å³/cell. The value obtained for the uncorrected energy is -129.5 eV/cell. The total moment is 0.000 μB/f.u.

It has space group R-3m (No. 166, hexagonal axes), with a = 3.5555 Å, b = 3.5555 Å, c = 21.1633 Å, α = 90.00°, β = 90.00° and γ = 120.00°. Symmetry generates all atoms from Sc at (0.0000, 0.0000, 0.0882), Be at (0.0000, 0.0000, 0.5000) and O at (0.0000, 0.0000, 0.0000).

8.
The following is a DFT calculation (SCAN) of a crystal of BeSeO2 relaxed with PBEsol.

For the offset from the most stable computed form, the calculation gives 0.000 eV per atom. The calculation puts the volume at 114 Å³/cell. The value obtained for the uncorrected energy is -126.5 eV/cell. The total moment is 0.000 μB/f.u.

It has space group R-3m (No. 166, hexagonal axes), with a = 2.7781 Å, b = 2.7781 Å, c = 17.0233 Å, α = 90.00°, β = 90.00° and γ = 120.00°. Symmetry generates all atoms from Be at (0.0000, 0.0000, 0.0000), Se at (0.0000, 0.0000, 0.5000) and O at (0.0000, 0.0000, 0.3882).

no.,raw formation energy (kJ/mol of atoms)
1,-244
2,-65
3,-86
4,-4
5,72
6,-40
7,-99
8,-127